1.
Compound: NdSmZnIr
Source: Alexandria via LeMat-Bulk
Functional: PBE
Structure: relaxed

The structure in CIF format:
```
data_NdSmZnIr
_chemical_formula_sum 'Nd2 Sm2 Zn2 Ir2'
_space_group_name_H-M_alt 'P 1'
_space_group_IT_number 1
_space_group_name_Hall 'P 1'
_cell_length_a 4.4332
_cell_length_b 4.0061
_cell_length_c 10.8952
_cell_angle_alpha 90.00
_cell_angle_beta 90.00
_cell_angle_gamma 90.00
loop_
_atom_site_label
_atom_site_type_symbol
_atom_site_fract_x
_atom_site_fract_y
_atom_site_fract_z
_atom_site_occupancy
Nd1 Nd 0.0000 0.0000 0.0000 1
Nd2 Nd 0.0000 0.5000 0.5000 1
Sm1 Sm 0.5000 0.0000 0.7218 1
Sm2 Sm 0.5000 0.5000 0.2218 1
Zn1 Zn 0.5000 0.0000 0.4287 1
Zn2 Zn 0.5000 0.5000 0.9287 1
Ir1 Ir 0.0000 0.0000 0.2899 1
Ir2 Ir 0.0000 0.5000 0.7899 1
```

## Properties
**ΔE to the lowest computed polymorph**: 0.0 meV/atom
**Energy of formation from the pure elements**: -203 kJ/mol of formula units

***

2.
Compound: NdSmZnIr
Source: Alexandria via LeMat-Bulk
Functional: PBE
Structure: relaxed

The structure in CIF format:
```
data_NdSmZnIr
_chemical_formula_sum 'Nd4 Sm4 Zn4 Ir4'
_space_group_name_H-M_alt 'P 1'
_space_group_IT_number 1
_space_group_name_Hall 'P 1'
_cell_length_a 7.1686
_cell_length_b 7.1686
_cell_length_c 7.1686
_cell_angle_alpha 90.00
_cell_angle_beta 90.00
_cell_angle_gamma 90.00
loop_
_atom_site_label
_atom_site_type_symbol
_atom_site_fract_x
_atom_site_fract_y
_atom_site_fract_z
_atom_site_occupancy
Nd1 Nd 0.0000 0.0000 0.0000 1
Nd2 Nd 0.0000 0.5000 0.5000 1
Nd3 Nd 0.5000 0.0000 0.5000 1
Nd4 Nd 0.5000 0.5000 0.0000 1
Sm1 Sm 0.0000 0.0000 0.5000 1
Sm2 Sm 0.0000 0.5000 0.0000 1
Sm3 Sm 0.5000 0.0000 0.0000 1
Sm4 Sm 0.5000 0.5000 0.5000 1
Zn1 Zn 0.2500 0.2500 0.7500 1
Zn2 Zn 0.2500 0.7500 0.2500 1
Zn3 Zn 0.7500 0.2500 0.2500 1
Zn4 Zn 0.7500 0.7500 0.7500 1
Ir1 Ir 0.2500 0.2500 0.2500 1
Ir2 Ir 0.2500 0.7500 0.7500 1
Ir3 Ir 0.7500 0.2500 0.7500 1
Ir4 Ir 0.7500 0.7500 0.2500 1
```

## Properties
**ΔE to the lowest computed polymorph**: 27.7 meV/atom
**Energy of formation from the pure elements**: -193 kJ/mol of formula units

***

3.
Compound: NdSnIr2
Source: Alexandria via LeMat-Bulk
Functional: PBE
Structure: relaxed

The structure in CIF format:
```
data_NdSnIr2
_chemical_formula_sum 'Nd4 Sn4 Ir8'
_space_group_name_H-M_alt 'P 1'
_space_group_IT_number 1
_space_group_name_Hall 'P 1'
_cell_length_a 5.8677
_cell_length_b 7.0595
_cell_length_c 9.3096
_cell_angle_alpha 90.00
_cell_angle_beta 90.00
_cell_angle_gamma 90.00
loop_
_atom_site_label
_atom_site_type_symbol
_atom_site_fract_x
_atom_site_fract_y
_atom_site_fract_z
_atom_site_occupancy
Nd1 Nd 0.2500 0.0000 0.1112 1
Nd2 Nd 0.2500 0.5000 0.2868 1
Nd3 Nd 0.7500 0.0000 0.8888 1
Nd4 Nd 0.7500 0.5000 0.7132 1
Sn1 Sn 0.2500 0.0000 0.7474 1
Sn2 Sn 0.2500 0.5000 0.7769 1
Sn3 Sn 0.7500 0.0000 0.2526 1
Sn4 Sn 0.7500 0.5000 0.2231 1
Ir1 Ir 0.0000 0.0000 0.5000 1
Ir2 Ir 0.0000 0.5000 0.0000 1
Ir3 Ir 0.2500 0.3018 0.5388 1
Ir4 Ir 0.2500 0.6982 0.5388 1
Ir5 Ir 0.5000 0.0000 0.5000 1
Ir6 Ir 0.5000 0.5000 0.0000 1
Ir7 Ir 0.7500 0.3018 0.4612 1
Ir8 Ir 0.7500 0.6982 0.4612 1
```

## Properties
**Energy of formation from the pure elements**: 27 kJ/mol of formula units

***

4.
Compound: Nd5Sn2Ir
Source: Alexandria via LeMat-Bulk
Functional: PBE
Structure: relaxed

The structure in CIF format:
```
data_Nd5Sn2Ir
_chemical_formula_sum 'Nd10 Sn4 Ir2'
_space_group_name_H-M_alt 'P 1'
_space_group_IT_number 1
_space_group_name_Hall 'P 1'
_cell_length_a 8.1923
_cell_length_b 12.6078
_cell_length_c 4.6999
_cell_angle_alpha 90.00
_cell_angle_beta 90.00
_cell_angle_gamma 90.00
loop_
_atom_site_label
_atom_site_type_symbol
_atom_site_fract_x
_atom_site_fract_y
_atom_site_fract_z
_atom_site_occupancy
Nd1 Nd 0.0000 0.0000 0.0000 1
Nd2 Nd 0.1385 0.2964 0.0000 1
Nd3 Nd 0.1868 0.5665 0.5000 1
Nd4 Nd 0.3132 0.0665 0.5000 1
Nd5 Nd 0.3615 0.7964 0.0000 1
Nd6 Nd 0.5000 0.5000 0.0000 1
Nd7 Nd 0.6385 0.2036 0.0000 1
Nd8 Nd 0.6868 0.9335 0.5000 1
Nd9 Nd 0.8132 0.4335 0.5000 1
Nd10 Nd 0.8615 0.7036 0.0000 1
Sn1 Sn 0.0761 0.8288 0.5000 1
Sn2 Sn 0.4239 0.3288 0.5000 1
Sn3 Sn 0.5761 0.6712 0.5000 1
Sn4 Sn 0.9239 0.1712 0.5000 1
Ir1 Ir 0.0000 0.5000 0.0000 1
Ir2 Ir 0.5000 0.0000 0.0000 1
```

## Properties
**Energy of formation from the pure elements**: -524 kJ/mol of formula units

***

5.
Compound: Nd3Sn2Ir
Source: Alexandria via LeMat-Bulk
Functional: PBE
Structure: relaxed

The structure in CIF format:
```
data_Nd3Sn2Ir
_chemical_formula_sum 'Nd12 Sn8 Ir4'
_space_group_name_H-M_alt 'P 1'
_space_group_IT_number 1
_space_group_name_Hall 'P 1'
_cell_length_a 12.7436
_cell_length_b 4.4905
_cell_length_c 11.9954
_cell_angle_alpha 90.00
_cell_angle_beta 90.00
_cell_angle_gamma 90.00
loop_
_atom_site_label
_atom_site_type_symbol
_atom_site_fract_x
_atom_site_fract_y
_atom_site_fract_z
_atom_site_occupancy
Nd1 Nd 0.0534 0.2500 0.1291 1
Nd2 Nd 0.1186 0.7500 0.5466 1
Nd3 Nd 0.2383 0.2500 0.7927 1
Nd4 Nd 0.2617 0.7500 0.2927 1
Nd5 Nd 0.3814 0.2500 0.0466 1
Nd6 Nd 0.4466 0.7500 0.6291 1
Nd7 Nd 0.5534 0.2500 0.3709 1
Nd8 Nd 0.6186 0.7500 0.9534 1
Nd9 Nd 0.7383 0.2500 0.7073 1
Nd10 Nd 0.7617 0.7500 0.2073 1
Nd11 Nd 0.8814 0.2500 0.4534 1
Nd12 Nd 0.9466 0.7500 0.8709 1
Sn1 Sn 0.0028 0.7500 0.3076 1
Sn2 Sn 0.1907 0.7500 0.9991 1
Sn3 Sn 0.3093 0.2500 0.4991 1
Sn4 Sn 0.4972 0.2500 0.8076 1
Sn5 Sn 0.5028 0.7500 0.1924 1
Sn6 Sn 0.6907 0.7500 0.5009 1
Sn7 Sn 0.8093 0.2500 0.0009 1
Sn8 Sn 0.9972 0.2500 0.6924 1
Ir1 Ir 0.1268 0.2500 0.3687 1
Ir2 Ir 0.3732 0.7500 0.8687 1
Ir3 Ir 0.6268 0.2500 0.1313 1
Ir4 Ir 0.8732 0.7500 0.6313 1
```

## Properties
**Energy of formation from the pure elements**: -439 kJ/mol of formula units

***

6.
Compound: NdSn2Ir
Source: Alexandria via LeMat-Bulk
Functional: PBE
Structure: relaxed

The structure in CIF format:
```
data_NdSn2Ir
_chemical_formula_sum 'Nd3 Sn6 Ir3'
_space_group_name_H-M_alt 'P 1'
_space_group_IT_number 1
_space_group_name_Hall 'P 1'
_cell_length_a 3.3535
_cell_length_b 3.3535
_cell_length_c 31.3285
_cell_angle_alpha 90.00
_cell_angle_beta 90.00
_cell_angle_gamma 120.00
loop_
_atom_site_label
_atom_site_type_symbol
_atom_site_fract_x
_atom_site_fract_y
_atom_site_fract_z
_atom_site_occupancy
Nd1 Nd 0.0000 0.0000 0.0000 1
Nd2 Nd 0.3333 0.6667 0.6667 1
Nd3 Nd 0.6667 0.3333 0.3333 1
Sn1 Sn 0.0000 0.0000 0.1034 1
Sn2 Sn 0.0000 0.0000 0.8966 1
Sn3 Sn 0.3333 0.6667 0.5633 1
Sn4 Sn 0.3333 0.6667 0.7701 1
Sn5 Sn 0.6667 0.3333 0.2299 1
Sn6 Sn 0.6667 0.3333 0.4367 1
Ir1 Ir 0.0000 0.0000 0.5000 1
Ir2 Ir 0.3333 0.6667 0.1667 1
Ir3 Ir 0.6667 0.3333 0.8333 1
```

## Properties
**Energy of formation from the pure elements**: 34 kJ/mol of formula units

***

7.
Compound: Nd6SnIr2
Source: Alexandria via LeMat-Bulk
Functional: PBE
Structure: relaxed

The structure in CIF format:
```
data_Nd6SnIr2
_chemical_formula_sum 'Nd12 Sn2 Ir4'
_space_group_name_H-M_alt 'P 1'
_space_group_IT_number 1
_space_group_name_Hall 'P 1'
_cell_length_a 8.8119
_cell_length_b 8.8119
_cell_length_c 8.8119
_cell_angle_alpha 113.76
_cell_angle_beta 111.17
_cell_angle_gamma 103.65
loop_
_atom_site_label
_atom_site_type_symbol
_atom_site_fract_x
_atom_site_fract_y
_atom_site_fract_z
_atom_site_occupancy
Nd1 Nd 0.0317 0.2335 0.7982 1
Nd2 Nd 0.1808 0.2934 0.4742 1
Nd3 Nd 0.1808 0.7066 0.8875 1
Nd4 Nd 0.3315 0.0211 0.6896 1
Nd5 Nd 0.3315 0.6419 0.3104 1
Nd6 Nd 0.4353 0.2335 0.2018 1
Nd7 Nd 0.5647 0.7665 0.7982 1
Nd8 Nd 0.6685 0.3581 0.6896 1
Nd9 Nd 0.6685 0.9789 0.3104 1
Nd10 Nd 0.8192 0.2934 0.1125 1
Nd11 Nd 0.8192 0.7066 0.5258 1
Nd12 Nd 0.9683 0.7665 0.2018 1
Sn1 Sn 0.0000 0.0000 0.0000 1
Sn2 Sn 0.5000 0.5000 0.0000 1
Ir1 Ir 0.1324 0.6324 0.5000 1
Ir2 Ir 0.3350 0.0000 0.3350 1
Ir3 Ir 0.6650 0.0000 0.6650 1
Ir4 Ir 0.8676 0.3676 0.5000 1
```

## Properties
**Energy of formation from the pure elements**: -477 kJ/mol of formula units

***

8.
Compound: NdSn6Ir
Source: Alexandria via LeMat-Bulk
Functional: PBE
Structure: relaxed

The structure in CIF format:
```
data_NdSn6Ir
_chemical_formula_sum 'Nd2 Sn12 Ir2'
_space_group_name_H-M_alt 'P 1'
_space_group_IT_number 1
_space_group_name_Hall 'P 1'
_cell_length_a 6.6148
_cell_length_b 10.7077
_cell_length_c 6.6274
_cell_angle_alpha 90.00
_cell_angle_beta 116.90
_cell_angle_gamma 90.00
loop_
_atom_site_label
_atom_site_type_symbol
_atom_site_fract_x
_atom_site_fract_y
_atom_site_fract_z
_atom_site_occupancy
Nd1 Nd 0.0000 0.0000 0.0000 1
Nd2 Nd 0.5000 0.5000 0.0000 1
Sn1 Sn 0.0527 0.5000 0.2939 1
Sn2 Sn 0.1483 0.2275 0.7467 1
Sn3 Sn 0.1483 0.7725 0.7467 1
Sn4 Sn 0.3517 0.2725 0.2533 1
Sn5 Sn 0.3517 0.7275 0.2533 1
Sn6 Sn 0.4473 0.0000 0.7061 1
Sn7 Sn 0.5527 0.0000 0.2939 1
Sn8 Sn 0.6483 0.2725 0.7467 1
Sn9 Sn 0.6483 0.7275 0.7467 1
Sn10 Sn 0.8517 0.2275 0.2533 1
Sn11 Sn 0.8517 0.7725 0.2533 1
Sn12 Sn 0.9473 0.5000 0.7061 1
Ir1 Ir 0.0000 0.0000 0.5000 1
Ir2 Ir 0.5000 0.5000 0.5000 1
```

## Properties
**Energy of formation from the pure elements**: -138 kJ/mol of formula units

***

Q: Which formula does entry 1 have?
A: NdSmZnIr

***

Q: Which of these has the highest energy of formation from the pure elements?
A: NdSn2Ir